The following is a DFT calculation (PBE) of an optimized crystal structure of Zr2Al4Cu.

The space group is P3m1 (No. 156) and the conventional cell measures 3.0041, 3.0041 and 16.7449 Å, with angles of 90.00, 90.00 and 120.00 degrees. The distinct sites, in fractional coordinates, are Zr at (0.0000, 0.0000, 0.0000), Zr at (0.3333, 0.6667, 0.6807), Al at (0.3333, 0.6667, 0.4046), Al at (0.3333, 0.6667, 0.8523), Al at (0.6667, 0.3333, 0.1451), Al at (0.6667, 0.3333, 0.5373) and Cu at (0.6667, 0.3333, 0.2934).

As for the final energy: -5.1299 eV per atom. For the energy relative to the elements, the calculation gives 3.5 kJ per mole of atoms. As for the distance to the lowest polymorph of the same formula: 489.2 meV per atom. As for the crystal system: trigonal.

The following is a DFT calculation (PBE) of an optimized crystal structure of LiMgIr2.

The space group is Cm (No. 8) and the conventional cell measures 10.126, 2.739 and 4.776 Å, with angles of 90.00, 117.88 and 90.00 degrees. The distinct sites, in fractional coordinates, are Li at (0.000, 0.000, 0.000), Mg at (0.270, 0.500, 0.105), Ir at (0.018, 0.500, 0.537) and Ir at (0.249, 0.000, 0.574).

As for the final energy: -5.5609 eV per atom. For the energy relative to the elements, the calculation gives -24.4 kJ per mole of atoms. As for the crystal system: monoclinic.